! Mg4BiAu (PBE-GGA, relaxed); values from VASP
&SYSTEM
  ibrav = 0, nat = 12, ntyp = 3
/
ATOMIC_SPECIES
Mg 24.30 Mg.upf
Bi 208.98 Bi.upf
Au 196.97 Au.upf
CELL_PARAMETERS angstrom
5.689 -0.468 0.000
-2.073 8.162 0.000
-1.808 -3.847 6.213
ATOMIC_POSITIONS crystal
Mg 0.053 0.189 0.819
Mg 0.780 0.711 0.647
Mg 0.267 0.630 0.819
Mg 0.367 0.936 0.647
Mg 0.633 0.064 0.353
Mg 0.733 0.370 0.181
Mg 0.220 0.289 0.353
Mg 0.947 0.811 0.181
Bi 0.375 0.625 0.250
Bi 0.625 0.375 0.750
Au 0.251 0.001 0.002
Au 0.749 0.999 0.998
! Energy of formation from the pure elements: -0.266 eV per atom
! Spin magnetization: 0.00 μB/f.u.
! Polymorph energy (0 for the lowest one): 0.060 eV per atom


! Mg3Bi5Au12 (PBE-GGA, relaxed); values from VASP
&SYSTEM
  ibrav = 0, nat = 80, ntyp = 3
/
ATOMIC_SPECIES
Mg 24.30 Mg.upf
Bi 208.98 Bi.upf
Au 196.97 Au.upf
CELL_PARAMETERS angstrom
14.091 0.000 0.000
-4.697 13.285 0.000
-4.697 -6.642 11.505
ATOMIC_POSITIONS crystal
Mg 0.750 0.375 0.125
Mg 0.875 0.750 0.125
Mg 0.375 0.750 0.625
Mg 0.250 0.125 0.375
Mg 0.875 0.125 0.250
Mg 0.375 0.625 0.250
Mg 0.625 0.375 0.750
Mg 0.125 0.875 0.750
Mg 0.750 0.875 0.625
Mg 0.625 0.250 0.375
Mg 0.125 0.250 0.875
Mg 0.250 0.625 0.875
Bi 0.125 0.375 0.250
Bi 0.000 0.500 0.000
Bi 0.000 0.000 0.000
Bi 0.375 0.250 0.125
Bi 0.500 0.000 0.500
Bi 0.500 0.500 0.000
Bi 0.125 0.750 0.375
Bi 0.750 0.125 0.875
Bi 0.750 0.625 0.375
Bi 0.375 0.125 0.750
Bi 0.625 0.875 0.250
Bi 0.500 0.500 0.500
Bi 0.500 0.000 0.000
Bi 0.000 0.000 0.500
Bi 0.250 0.375 0.625
Bi 0.250 0.875 0.125
Bi 0.000 0.500 0.500
Bi 0.875 0.250 0.625
Bi 0.625 0.750 0.875
Bi 0.875 0.625 0.750
Au 0.733 0.153 0.074
Au 0.341 0.574 0.421
Au 0.926 0.347 0.267
Au 0.574 0.233 0.153
Au 0.580 0.733 0.659
Au 0.926 0.579 0.159
Au 0.341 0.767 0.420
Au 0.079 0.920 0.153
Au 0.579 0.926 0.659
Au 0.733 0.580 0.159
Au 0.767 0.426 0.347
Au 0.841 0.921 0.074
Au 0.153 0.733 0.574
Au 0.347 0.421 0.080
Au 0.080 0.921 0.347
Au 0.420 0.153 0.579
Au 0.080 0.159 0.233
Au 0.426 0.659 0.079
Au 0.841 0.920 0.267
Au 0.153 0.420 0.079
Au 0.347 0.926 0.767
Au 0.579 0.653 0.420
Au 0.921 0.841 0.574
Au 0.767 0.341 0.920
Au 0.421 0.347 0.580
Au 0.079 0.159 0.426
Au 0.233 0.659 0.080
Au 0.159 0.080 0.733
Au 0.653 0.074 0.233
Au 0.847 0.580 0.921
Au 0.574 0.341 0.921
Au 0.580 0.847 0.421
Au 0.920 0.841 0.767
Au 0.920 0.079 0.653
Au 0.847 0.267 0.426
Au 0.159 0.079 0.926
Au 0.653 0.579 0.920
Au 0.421 0.074 0.341
Au 0.267 0.420 0.841
Au 0.233 0.574 0.653
Au 0.921 0.080 0.847
Au 0.659 0.233 0.580
Au 0.426 0.767 0.847
Au 0.074 0.421 0.841
Au 0.420 0.267 0.341
Au 0.074 0.653 0.733
Au 0.659 0.426 0.579
Au 0.267 0.847 0.926
! Energy of formation from the pure elements: 0.003 eV per atom
! Spin magnetization: 0.00 μB/f.u.


! MgBiAu2 (PBE-GGA, relaxed); values from VASP
&SYSTEM
  ibrav = 0, nat = 4, ntyp = 3
/
ATOMIC_SPECIES
Mg 24.30 Mg.upf
Au 196.97 Au.upf
Bi 208.98 Bi.upf
CELL_PARAMETERS angstrom
-0.798 -0.475 4.468
-3.030 -3.083 1.461
2.322 -4.589 2.258
ATOMIC_POSITIONS crystal
Mg 0.000 0.000 0.000
Au 0.280 0.280 0.161
Au 0.720 0.720 0.839
Bi 0.500 0.500 0.500
! Energy of formation from the pure elements: -0.252 eV per atom
! Spin magnetization: 0.00 μB/f.u.


! MgBiAu2 (PBE-GGA, relaxed); values from VASP
&SYSTEM
  ibrav = 0, nat = 8, ntyp = 3
/
ATOMIC_SPECIES
Mg 24.30 Mg.upf
Au 196.97 Au.upf
Bi 208.98 Bi.upf
CELL_PARAMETERS angstrom
4.516 0.000 0.000
0.000 4.516 0.000
2.258 2.258 9.319
ATOMIC_POSITIONS crystal
Mg 0.500 0.500 0.000
Mg 0.250 0.750 0.500
Au 0.589 0.125 0.250
Au 0.161 0.625 0.250
Au 0.375 0.411 0.750
Au 0.875 0.839 0.750
Bi 0.000 0.000 0.000
Bi 0.750 0.250 0.500
! Energy of formation from the pure elements: -0.095 eV per atom
! Spin magnetization: 0.00 μB/f.u.


! Mg4BiAu (PBE-GGA, relaxed); values from VASP
&SYSTEM
  ibrav = 0, nat = 6, ntyp = 3
/
ATOMIC_SPECIES
Mg 24.30 Mg.upf
Bi 208.98 Bi.upf
Au 196.97 Au.upf
CELL_PARAMETERS angstrom
-0.285 1.132 4.459
-2.273 -3.919 0.850
6.194 -3.324 1.240
ATOMIC_POSITIONS crystal
Mg 0.500 0.000 0.720
Mg 0.000 0.500 0.720
Mg 0.500 0.000 0.280
Mg 0.000 0.500 0.280
Bi 0.000 0.000 0.000
Au 0.500 0.500 0.500
! Energy of formation from the pure elements: -0.327 eV per atom
! Spin magnetization: 0.00 μB/f.u.
! Polymorph energy (0 for the lowest one): 0.000 eV per atom


! MgBiAu3 (PBE-GGA, relaxed); values from VASP
&SYSTEM
  ibrav = 0, nat = 5, ntyp = 3
/
ATOMIC_SPECIES
Mg 24.30 Mg.upf
Au 196.97 Au.upf
Bi 208.98 Bi.upf
CELL_PARAMETERS angstrom
-3.751 2.981 1.197
-2.677 -1.884 -3.698
-1.775 -3.458 3.047
ATOMIC_POSITIONS crystal
Mg 0.000 0.000 0.000
Au 0.000 0.500 0.000
Au 0.000 0.000 0.500
Au 0.500 0.000 0.000
Bi 0.500 0.500 0.500
! Energy of formation from the pure elements: 0.299 eV per atom
! Spin magnetization: 0.00 μB/f.u.
! Polymorph energy (0 for the lowest one): 0.000 eV per atom


! Mg2Bi2Au (PBE-GGA, relaxed); values from VASP
&SYSTEM
  ibrav = 0, nat = 10, ntyp = 3
/
ATOMIC_SPECIES
Mg 24.30 Mg.upf
Au 196.97 Au.upf
Bi 208.98 Bi.upf
CELL_PARAMETERS angstrom
8.499 0.000 0.000
0.000 8.499 0.000
0.000 0.000 3.654
ATOMIC_POSITIONS crystal
Mg 0.127 0.627 0.500
Mg 0.627 0.873 0.500
Mg 0.873 0.373 0.500
Mg 0.373 0.127 0.500
Au 0.000 0.000 0.000
Au 0.500 0.500 0.000
Bi 0.322 0.822 0.000
Bi 0.822 0.678 0.000
Bi 0.678 0.178 0.000
Bi 0.178 0.322 0.000
! Energy of formation from the pure elements: 0.025 eV per atom
! Spin magnetization: 0.00 μB/f.u.
! Polymorph energy (0 for the lowest one): 0.128 eV per atom


! MgBi2Au2 (PBE-GGA, relaxed); values from VASP
&SYSTEM
  ibrav = 0, nat = 10, ntyp = 3
/
ATOMIC_SPECIES
Mg 24.30 Mg.upf
Au 196.97 Au.upf
Bi 208.98 Bi.upf
CELL_PARAMETERS angstrom
7.372 0.000 0.000
0.000 7.372 0.000
0.000 0.000 4.471
ATOMIC_POSITIONS crystal
Mg 0.000 0.000 0.000
Mg 0.500 0.500 0.000
Au 0.362 0.862 0.000
Au 0.862 0.638 0.000
Au 0.638 0.138 0.000
Au 0.138 0.362 0.000
Bi 0.173 0.673 0.500
Bi 0.673 0.827 0.500
Bi 0.827 0.327 0.500
Bi 0.327 0.173 0.500
! Energy of formation from the pure elements: -0.147 eV per atom
! Spin magnetization: 0.00 μB/f.u.
! Polymorph energy (0 for the lowest one): 0.000 eV per atom


! Mg2Bi2Au (PBE-GGA, relaxed); values from VASP
&SYSTEM
  ibrav = 0, nat = 5, ntyp = 3
/
ATOMIC_SPECIES
Mg 24.30 Mg.upf
Au 196.97 Au.upf
Bi 208.98 Bi.upf
CELL_PARAMETERS angstrom
5.833 0.000 0.000
0.000 5.833 0.000
2.916 2.916 4.457
ATOMIC_POSITIONS crystal
Mg 0.750 0.250 0.500
Mg 0.250 0.750 0.500
Au 0.000 0.000 0.000
Bi 0.320 0.320 0.361
Bi 0.680 0.680 0.639
! Energy of formation from the pure elements: 0.063 eV per atom
! Spin magnetization: 0.00 μB/f.u.
! Polymorph energy (0 for the lowest one): 0.166 eV per atom


! Mg2BiAu3 (PBE-GGA, relaxed); values from VASP
&SYSTEM
  ibrav = 0, nat = 6, ntyp = 3
/
ATOMIC_SPECIES
Mg 24.30 Mg.upf
Bi 208.98 Bi.upf
Au 196.97 Au.upf
CELL_PARAMETERS angstrom
3.397 0.000 0.000
0.000 3.397 0.000
0.000 0.000 10.522
ATOMIC_POSITIONS crystal
Mg 0.500 0.500 0.847
Mg 0.500 0.500 0.153
Bi 0.500 0.500 0.500
Au 0.000 0.000 0.000
Au 0.000 0.000 0.708
Au 0.000 0.000 0.292
! Energy of formation from the pure elements: -0.401 eV per atom
! Spin magnetization: 0.00 μB/f.u.


! Mg5BiAu4 (PBE-GGA, relaxed); values from VASP
&SYSTEM
  ibrav = 0, nat = 10, ntyp = 3
/
ATOMIC_SPECIES
Mg 24.30 Mg.upf
Bi 208.98 Bi.upf
Au 196.97 Au.upf
CELL_PARAMETERS angstrom
-0.449 -2.179 -2.537
3.271 -0.817 0.123
-3.592 -12.656 11.505
ATOMIC_POSITIONS crystal
Mg 0.500 0.500 0.138
Mg 0.500 0.500 0.318
Mg 0.500 0.500 0.500
Mg 0.500 0.500 0.682
Mg 0.500 0.500 0.862
Bi 0.000 0.000 0.000
Au 0.000 0.000 0.225
Au 0.000 0.000 0.409
Au 0.000 0.000 0.591
Au 0.000 0.000 0.775
! Energy of formation from the pure elements: -0.511 eV per atom
! Spin magnetization: 0.00 μB/f.u.


! Mg3BiAu (PBE-GGA, relaxed); values from VASP
&SYSTEM
  ibrav = 0, nat = 10, ntyp = 3
/
ATOMIC_SPECIES
Mg 24.30 Mg.upf
Bi 208.98 Bi.upf
Au 196.97 Au.upf
CELL_PARAMETERS angstrom
-1.632 1.337 -4.230
-3.970 -6.017 2.236
-2.110 7.307 3.185
ATOMIC_POSITIONS crystal
Mg 0.248 0.498 0.748
Mg 0.605 0.214 0.818
Mg 0.059 0.117 0.210
Mg 0.752 0.502 0.252
Mg 0.941 0.883 0.790
Mg 0.395 0.786 0.182
Bi 0.374 0.752 0.538
Bi 0.626 0.248 0.462
Au 0.167 0.334 0.009
Au 0.833 0.666 0.991
! Energy of formation from the pure elements: -0.318 eV per atom
! Spin magnetization: 0.00 μB/f.u.
! Polymorph energy (0 for the lowest one): 0.002 eV per atom


! MgBi2Au (PBE-GGA, relaxed); values from VASP
&SYSTEM
  ibrav = 0, nat = 4, ntyp = 3
/
ATOMIC_SPECIES
Mg 24.30 Mg.upf
Au 196.97 Au.upf
Bi 208.98 Bi.upf
CELL_PARAMETERS angstrom
3.494 0.000 0.000
1.747 3.026 0.000
1.747 1.009 10.708
ATOMIC_POSITIONS crystal
Mg 0.000 0.000 0.000
Au 0.500 0.500 0.500
Bi 0.096 0.096 0.711
Bi 0.904 0.904 0.289
! Energy of formation from the pure elements: 0.133 eV per atom
! Spin magnetization: 0.00 μB/f.u.


! Mg2Bi2Au (PBE-GGA, relaxed); values from VASP
&SYSTEM
  ibrav = 0, nat = 10, ntyp = 3
/
ATOMIC_SPECIES
Mg 24.30 Mg.upf
Au 196.97 Au.upf
Bi 208.98 Bi.upf
CELL_PARAMETERS angstrom
-1.767 -6.763 1.988
5.356 -2.621 -4.154
3.048 0.303 3.739
ATOMIC_POSITIONS crystal
Mg 0.345 0.845 0.000
Mg 0.845 0.655 0.000
Mg 0.655 0.155 0.000
Mg 0.155 0.345 0.000
Au 0.000 0.000 0.000
Au 0.500 0.500 0.000
Bi 0.157 0.657 0.500
Bi 0.657 0.843 0.500
Bi 0.843 0.343 0.500
Bi 0.343 0.157 0.500
! Energy of formation from the pure elements: -0.103 eV per atom
! Spin magnetization: 0.00 μB/f.u.
! Polymorph energy (0 for the lowest one): 0.000 eV per atom


! MgBiAu2 (PBE-GGA, relaxed); values from VASP
&SYSTEM
  ibrav = 0, nat = 4, ntyp = 3
/
ATOMIC_SPECIES
Mg 24.30 Mg.upf
Au 196.97 Au.upf
Bi 208.98 Bi.upf
CELL_PARAMETERS angstrom
4.132 0.000 0.000
0.000 4.565 0.000
0.000 0.000 4.565
ATOMIC_POSITIONS crystal
Mg 0.500 0.000 0.000
Au 0.000 0.000 0.500
Au 0.000 0.500 0.000
Bi 0.500 0.500 0.500
! Energy of formation from the pure elements: -0.206 eV per atom
! Spin magnetization: 0.00 μB/f.u.


! MgBiAu3 (PBE-GGA, relaxed); values from VASP
&SYSTEM
  ibrav = 0, nat = 5, ntyp = 3
/
ATOMIC_SPECIES
Mg 24.30 Mg.upf
Au 196.97 Au.upf
Bi 208.98 Bi.upf
CELL_PARAMETERS angstrom
-0.888 3.698 -3.846
-3.831 -3.156 -2.150
-3.714 2.371 3.137
ATOMIC_POSITIONS crystal
Mg 0.500 0.500 0.500
Au 0.000 0.500 0.000
Au 0.000 0.000 0.500
Au 0.500 0.000 0.000
Bi 0.000 0.000 0.000
! Energy of formation from the pure elements: 0.479 eV per atom
! Spin magnetization: 0.00 μB/f.u.
! Polymorph energy (0 for the lowest one): 0.180 eV per atom


! Mg12Bi3Au5 (PBE-GGA, relaxed); values from VASP
&SYSTEM
  ibrav = 0, nat = 80, ntyp = 3
/
ATOMIC_SPECIES
Bi 208.98 Bi.upf
Au 196.97 Au.upf
Mg 24.30 Mg.upf
CELL_PARAMETERS angstrom
14.222 0.000 0.000
-4.741 13.408 0.000
-4.741 -6.704 11.612
ATOMIC_POSITIONS crystal
Bi 0.750 0.375 0.125
Bi 0.875 0.750 0.125
Bi 0.375 0.750 0.625
Bi 0.250 0.125 0.375
Bi 0.875 0.125 0.250
Bi 0.375 0.625 0.250
Bi 0.625 0.375 0.750
Bi 0.125 0.875 0.750
Bi 0.750 0.875 0.625
Bi 0.625 0.250 0.375
Bi 0.125 0.250 0.875
Bi 0.250 0.625 0.875
Au 0.125 0.375 0.250
Au 0.000 0.500 0.000
Au 0.000 0.000 0.000
Au 0.375 0.250 0.125
Au 0.500 0.000 0.500
Au 0.500 0.500 0.000
Au 0.125 0.750 0.375
Au 0.750 0.125 0.875
Au 0.750 0.625 0.375
Au 0.375 0.125 0.750
Au 0.625 0.875 0.250
Au 0.500 0.500 0.500
Au 0.500 0.000 0.000
Au 0.000 0.000 0.500
Au 0.250 0.375 0.625
Au 0.250 0.875 0.125
Au 0.000 0.500 0.500
Au 0.875 0.250 0.625
Au 0.625 0.750 0.875
Au 0.875 0.625 0.750
Mg 0.712 0.121 0.043
Mg 0.331 0.543 0.422
Mg 0.957 0.379 0.288
Mg 0.543 0.212 0.121
Mg 0.591 0.712 0.669
Mg 0.957 0.578 0.169
Mg 0.331 0.788 0.409
Mg 0.078 0.909 0.121
Mg 0.578 0.957 0.669
Mg 0.712 0.591 0.169
Mg 0.788 0.457 0.379
Mg 0.831 0.922 0.043
Mg 0.121 0.712 0.543
Mg 0.379 0.422 0.091
Mg 0.091 0.922 0.379
Mg 0.409 0.121 0.578
Mg 0.091 0.169 0.212
Mg 0.457 0.669 0.078
Mg 0.831 0.909 0.288
Mg 0.121 0.409 0.078
Mg 0.379 0.957 0.788
Mg 0.578 0.621 0.409
Mg 0.922 0.831 0.543
Mg 0.788 0.331 0.909
Mg 0.422 0.379 0.591
Mg 0.078 0.169 0.457
Mg 0.212 0.669 0.091
Mg 0.169 0.091 0.712
Mg 0.621 0.043 0.212
Mg 0.879 0.591 0.922
Mg 0.543 0.331 0.922
Mg 0.591 0.879 0.422
Mg 0.909 0.831 0.788
Mg 0.909 0.078 0.621
Mg 0.879 0.288 0.457
Mg 0.169 0.078 0.957
Mg 0.621 0.578 0.909
Mg 0.422 0.043 0.331
Mg 0.288 0.409 0.831
Mg 0.212 0.543 0.621
Mg 0.922 0.091 0.879
Mg 0.669 0.212 0.591
Mg 0.457 0.788 0.879
Mg 0.043 0.422 0.831
Mg 0.409 0.288 0.331
Mg 0.043 0.621 0.712
Mg 0.669 0.457 0.578
Mg 0.288 0.879 0.957
! Energy of formation from the pure elements: -0.145 eV per atom
! Spin magnetization: 0.00 μB/f.u.


! MgBi2Au2 (PBE-GGA, relaxed); values from VASP
&SYSTEM
  ibrav = 0, nat = 10, ntyp = 3
/
ATOMIC_SPECIES
Mg 24.30 Mg.upf
Au 196.97 Au.upf
Bi 208.98 Bi.upf
CELL_PARAMETERS angstrom
8.114 0.000 0.000
0.000 8.114 0.000
0.000 0.000 3.906
ATOMIC_POSITIONS crystal
Mg 0.000 0.000 0.000
Mg 0.500 0.500 0.000
Au 0.127 0.627 0.500
Au 0.627 0.873 0.500
Au 0.873 0.373 0.500
Au 0.373 0.127 0.500
Bi 0.324 0.824 0.000
Bi 0.824 0.676 0.000
Bi 0.676 0.176 0.000
Bi 0.176 0.324 0.000
! Energy of formation from the pure elements: 0.031 eV per atom
! Spin magnetization: 0.00 μB/f.u.
! Polymorph energy (0 for the lowest one): 0.178 eV per atom